Here is an optimized crystal structure of CrIn3Ge from the Alexandria database. Energies are from GGA-PBE.

a b c (Å): 5.163 5.163 5.163
angles (deg): 90.00 90.00 90.00
Fractional positions:
Cr  0.000  0.000  0.000
In  0.000  0.000  0.500
In  0.000  0.500  0.000
In  0.500  0.000  0.000
Ge  0.500  0.500  0.500

## Properties
Formation energy from the elements ... 650 meV/atom
Total magnetic moment ... 2.99 μB per formula unit
Energy relative to the lowest polymorph listed for this composition ... 0.000 eV per atom
Volume ... 137.62 Å³/f.u.
Raw total energy ... -3.841 eV/atom

---

Here is an optimized crystal structure of Cr3InGe from the Alexandria database. Energies are from GGA-PBE.

a b c (Å): 4.610 4.610 4.610
angles (deg): 90.00 90.00 90.00
Fractional positions:
Cr  0.000  0.000  0.500
Cr  0.000  0.500  0.000
Cr  0.500  0.000  0.000
In  0.500  0.500  0.500
Ge  0.000  0.000  0.000

## Properties
Formation energy from the elements ... 811 meV/atom
Total magnetic moment ... 9.01 μB per formula unit
Energy relative to the lowest polymorph listed for this composition ... 0.000 eV per atom
Volume ... 98.00 Å³/f.u.
Raw total energy ... -6.434 eV/atom

---

Here is an optimized crystal structure of CrInGe from the Alexandria database. Energies are from GGA-PBE.

a b c (Å): 10.894 3.057 6.798
angles (deg): 90.00 108.85 90.00
Fractional positions:
Cr  0.105  0.000  0.483
Cr  0.395  0.500  0.517
Cr  0.605  0.500  0.483
Cr  0.895  0.000  0.517
In  0.092  0.500  0.815
In  0.408  0.000  0.185
In  0.592  0.000  0.815
In  0.908  0.500  0.185
Ge  0.176  0.500  0.236
Ge  0.324  0.000  0.764
Ge  0.676  0.000  0.236
Ge  0.824  0.500  0.764

## Properties
Formation energy from the elements ... 258 meV/atom
Total magnetic moment ... 0.55 μB per formula unit
Volume ... 53.56 Å³/f.u.
Raw total energy ... -5.402 eV/atom